# 1
Density functional theory data (PBE) for a relaxed CeThInAg crystal.

```
4
Lattice="-0.270 1.856 5.059 -4.777 0.392 2.478 -1.226 -3.357 4.043" Properties=species:S:1:pos:R:3 pbc="T T T"
Ce -3.136 -0.554 5.790
Th 0.000 0.000 0.000
Ag -1.568 -0.277 2.895
In -4.704 -0.832 8.685
```

Properties
Fermi-level density of states	9.8	states/eV per cell
space-group type	No. 216
energy relative to the elements	-12.4	kJ per mole of atoms
calculated total energy	-4.864	eV/atom

# 2
Density functional theory data (PBE) for a relaxed Ce2ThIn2Ag2 crystal.

```
7
Lattice="4.759 0.000 0.000 2.380 4.122 0.000 2.380 1.374 9.043" Properties=species:S:1:pos:R:3 pbc="T T T"
Ag 4.759 2.748 6.721
Ag 4.759 2.748 2.322
Th 0.000 0.000 0.000
Ce 2.380 1.374 5.185
Ce 7.139 4.122 3.858
In 7.139 4.122 7.211
In 2.380 1.374 1.832
```

Properties
Fermi-level density of states	11.4	states/eV per cell
space-group type	No. 166
energy relative to the elements	-17.2	kJ per mole of atoms
calculated total energy	-4.530	eV/atom